The following is a DFT calculation (PBE) of K2CaBi2 after structural relaxation.

Cell: 8.3735 8.3735 5.7486 Å, 90.00 90.00 90.00°
Sites, in units of the cell vectors:
K1 0.1607 0.3393 0.0000
K2 0.3393 0.8393 0.0000
K3 0.6607 0.1607 0.0000
K4 0.8393 0.6607 0.0000
Ca1 0.0000 0.0000 0.5000
Ca2 0.5000 0.5000 0.5000
Bi1 0.1333 0.6333 0.5000
Bi2 0.3667 0.1333 0.5000
Bi3 0.6333 0.8667 0.5000
Bi4 0.8667 0.3667 0.5000

**Formation enthalpy at 0 K**: -0.453 eV per atom
**E above lowest polymorph**: 0.0 meV per atom
**Density of states at the Fermi level**: 0.17 states/eV per cell